Entry from the Alexandria database: an optimized crystal structure of Cs2PbWI6 (PBE).

The structure in extended XYZ format:
```
10
Lattice="-4.319 4.319 6.130 4.319 -4.319 6.130 4.319 4.319 -6.130" Properties=species:S:1:pos:R:3 pbc="T T T"
Cs 4.319 0.000 3.065
Cs 0.000 4.319 3.065
Pb 0.000 0.000 0.000
W 0.000 0.000 6.130
I 0.000 0.000 3.266
I 2.303 2.303 0.000
I 2.016 -2.016 6.130
I -2.016 2.016 6.130
I 2.016 2.016 6.130
I 0.000 0.000 8.994
```

N(E_F) (states/eV/atom): 0.249
VASP energy (eV per atom): -3.342


Entry from the Alexandria database: an optimized crystal structure of CsYPb2I8 (PBE).

The structure in extended XYZ format:
```
12
Lattice="7.446 0.000 0.000 0.242 7.849 0.000 0.086 0.064 10.065" Properties=species:S:1:pos:R:3 pbc="T T T"
Cs 0.000 0.000 0.000
Y 0.043 0.032 5.033
Pb 3.853 3.938 2.515
Pb 3.922 3.975 7.550
I 1.851 2.577 5.029
I 2.139 6.678 7.113
I 2.122 6.672 2.939
I 2.081 3.063 0.027
I 5.694 4.850 10.038
I 5.653 1.241 7.126
I 5.636 1.235 2.953
I 5.924 5.336 5.036
```

N(E_F) (states/eV/atom): 0.000
VASP energy (eV per atom): -3.252


Entry from the Alexandria database: an optimized crystal structure of Cs2ZnPbI6 (PBE).

The structure in extended XYZ format:
```
10
Lattice="0.000 6.077 6.077 6.077 0.000 6.077 6.077 6.077 0.000" Properties=species:S:1:pos:R:3 pbc="T T T"
Cs 3.039 3.039 3.039
Cs 9.116 9.116 9.116
Zn 0.000 0.000 0.000
Pb 6.077 6.077 6.077
I 6.077 6.077 2.880
I 6.077 2.880 6.077
I 9.275 6.077 6.077
I 2.880 6.077 6.077
I 6.077 9.275 6.077
I 6.077 6.077 9.275
```

N(E_F) (states/eV/atom): 0.000
VASP energy (eV per atom): -2.527


Entry from the Alexandria database: an optimized crystal structure of Cs2ZrPbI6 (PBE).

The structure in extended XYZ format:
```
10
Lattice="0.000 6.204 6.204 6.204 0.000 6.204 6.204 6.204 0.000" Properties=species:S:1:pos:R:3 pbc="T T T"
Cs 3.102 3.102 3.102
Cs 9.306 9.306 9.306
Zr 0.000 0.000 0.000
Pb 6.204 6.204 6.204
I 6.204 6.204 2.969
I 6.204 2.969 6.204
I 9.438 6.204 6.204
I 2.969 6.204 6.204
I 6.204 9.438 6.204
I 6.204 6.204 9.438
```

N(E_F) (states/eV/atom): 0.876
VASP energy (eV per atom): -3.265


Entry from the Alexandria database: an optimized crystal structure of Cs8Pd2I3 (PBE).

The structure in extended XYZ format:
```
13
Lattice="9.914 -5.122 0.000 9.914 5.122 0.000 -3.118 0.000 8.504" Properties=species:S:1:pos:R:3 pbc="T T T"
Cs 1.209 0.000 2.931
Cs 6.906 2.403 0.699
Cs 5.675 0.000 4.595
Cs 9.804 2.403 7.805
Cs 6.906 -2.403 0.699
Cs 11.035 0.000 3.909
Cs 9.804 -2.403 7.805
Cs 15.500 0.000 5.573
Pd 4.300 0.000 1.345
Pd 12.410 0.000 7.159
I 8.355 2.733 4.252
I 9.914 0.000 0.000
I 8.355 -2.733 4.252
```

N(E_F) (states/eV/atom): 0.450
VASP energy (eV per atom): -2.305


Entry from the Alexandria database: an optimized crystal structure of CsPdI (PBE).

The structure in extended XYZ format:
```
12
Lattice="10.979 0.000 0.000 0.000 4.763 0.000 0.000 0.000 8.255" Properties=species:S:1:pos:R:3 pbc="T T T"
Cs 10.977 1.191 2.059
Cs 0.002 3.572 6.196
Cs 5.488 1.191 2.068
Cs 5.491 3.572 6.187
Pd 2.745 1.191 4.820
Pd 2.744 3.572 0.692
Pd 8.234 1.191 7.563
Pd 8.234 3.572 3.436
I 2.750 1.191 7.569
I 2.739 3.572 3.441
I 8.240 1.191 4.814
I 8.229 3.572 0.686
```

E above lowest polymorph (meV per atom): 0
N(E_F) (states/eV/atom): 0.001
VASP energy (eV per atom): -3.150


The following total magnetic moment values (in μB per formula unit) correspond, in order, to the records above: 4.0, 0.0, 0.0, 2.0, 0.4, 0.0.